[1]
# Ho3Ag4Ge4, optimized geometry, DFT PBE-GGA
data_Ho3Ag4Ge4
_chemical_formula_sum 'Ho3 Ag4 Ge4'
_space_group_name_H-M_alt 'P 1'
_space_group_IT_number 1
_cell_length_a 8.3550
_cell_length_b 8.3550
_cell_length_c 8.3550
_cell_angle_alpha 150.02
_cell_angle_beta 129.41
_cell_angle_gamma 59.93
loop_
_space_group_symop_operation_xyz
'x,y,z'
loop_
_atom_site_label
_atom_site_type_symbol
_atom_site_fract_x
_atom_site_fract_y
_atom_site_fract_z
Ho1 Ho 0.0000 0.0000 0.0000
Ho2 Ho 0.3744 0.8744 0.5000
Ho3 Ho 0.6256 0.1256 0.5000
Ag1 Ag 0.0289 0.3307 0.6982
Ag2 Ag 0.3675 0.6693 0.6982
Ag3 Ag 0.6325 0.3307 0.3018
Ag4 Ag 0.9711 0.6693 0.3018
Ge1 Ge 0.2165 0.2165 0.0000
Ge2 Ge 0.3162 0.5000 0.8162
Ge3 Ge 0.6838 0.5000 0.1838
Ge4 Ge 0.7835 0.7835 0.0000
# DFT total energy: -49.15 eV for the cell shown

[2]
# Ho2AgGe2, optimized geometry, DFT PBE-GGA
data_Ho2AgGe2
_chemical_formula_sum 'Ho8 Ag4 Ge8'
_space_group_name_H-M_alt 'P 1'
_space_group_IT_number 1
_cell_length_a 7.1344
_cell_length_b 7.1344
_cell_length_c 8.4770
_cell_angle_alpha 90.00
_cell_angle_beta 90.00
_cell_angle_gamma 90.00
loop_
_space_group_symop_operation_xyz
'x,y,z'
loop_
_atom_site_label
_atom_site_type_symbol
_atom_site_fract_x
_atom_site_fract_y
_atom_site_fract_z
Ho1 Ho 0.1754 0.3246 0.0000
Ho2 Ho 0.1754 0.3246 0.5000
Ho3 Ho 0.3246 0.8246 0.0000
Ho4 Ho 0.3246 0.8246 0.5000
Ho5 Ho 0.6754 0.1754 0.0000
Ho6 Ho 0.6754 0.1754 0.5000
Ho7 Ho 0.8246 0.6754 0.0000
Ho8 Ho 0.8246 0.6754 0.5000
Ag1 Ag 0.0000 0.0000 0.2497
Ag2 Ag 0.0000 0.0000 0.7503
Ag3 Ag 0.5000 0.5000 0.2503
Ag4 Ag 0.5000 0.5000 0.7497
Ge1 Ge 0.1265 0.6265 0.2500
Ge2 Ge 0.1265 0.6265 0.7500
Ge3 Ge 0.3735 0.1265 0.2500
Ge4 Ge 0.3735 0.1265 0.7500
Ge5 Ge 0.6265 0.8735 0.2500
Ge6 Ge 0.6265 0.8735 0.7500
Ge7 Ge 0.8735 0.3735 0.2500
Ge8 Ge 0.8735 0.3735 0.7500
# DFT total energy: -98.99 eV for the cell shown

[3]
# HoLu2Ag4Ge4, optimized geometry, DFT PBE-GGA
data_HoLu2Ag4Ge4
_chemical_formula_sum 'Ho1 Lu2 Ag4 Ge4'
_space_group_name_H-M_alt 'P 1'
_space_group_IT_number 1
_cell_length_a 8.3092
_cell_length_b 8.3092
_cell_length_c 8.3092
_cell_angle_alpha 150.21
_cell_angle_beta 128.99
_cell_angle_gamma 60.20
loop_
_space_group_symop_operation_xyz
'x,y,z'
loop_
_atom_site_label
_atom_site_type_symbol
_atom_site_fract_x
_atom_site_fract_y
_atom_site_fract_z
Ho1 Ho 0.0000 0.0000 0.0000
Lu1 Lu 0.3752 0.8752 0.5000
Lu2 Lu 0.6248 0.1248 0.5000
Ag1 Ag 0.0295 0.3306 0.6990
Ag2 Ag 0.3684 0.6694 0.6990
Ag3 Ag 0.6316 0.3306 0.3010
Ag4 Ag 0.9705 0.6694 0.3010
Ge1 Ge 0.2178 0.2178 0.0000
Ge2 Ge 0.3172 0.5000 0.8172
Ge3 Ge 0.6828 0.5000 0.1828
Ge4 Ge 0.7822 0.7822 0.0000
# DFT total energy: -48.67 eV for the cell shown

[4]
# NdHo2Ag4Ge4, optimized geometry, DFT PBE-GGA
data_NdHo2Ag4Ge4
_chemical_formula_sum 'Nd1 Ho2 Ag4 Ge4'
_space_group_name_H-M_alt 'P 1'
_space_group_IT_number 1
_cell_length_a 8.4179
_cell_length_b 8.4179
_cell_length_c 8.4179
_cell_angle_alpha 150.26
_cell_angle_beta 129.23
_cell_angle_gamma 59.96
loop_
_space_group_symop_operation_xyz
'x,y,z'
loop_
_atom_site_label
_atom_site_type_symbol
_atom_site_fract_x
_atom_site_fract_y
_atom_site_fract_z
Nd1 Nd 0.0000 0.0000 0.0000
Ho1 Ho 0.3739 0.8739 0.5000
Ho2 Ho 0.6261 0.1261 0.5000
Ag1 Ag 0.0284 0.3312 0.6972
Ag2 Ag 0.3660 0.6688 0.6972
Ag3 Ag 0.6340 0.3312 0.3028
Ag4 Ag 0.9716 0.6688 0.3028
Ge1 Ge 0.2196 0.2196 0.0000
Ge2 Ge 0.3208 0.5000 0.8208
Ge3 Ge 0.6792 0.5000 0.1792
Ge4 Ge 0.7804 0.7804 0.0000
# DFT total energy: -49.69 eV for the cell shown

[5]
# Ho2AgGe4O12, optimized geometry, DFT PBE-GGA
data_Ho2AgGe4O12
_chemical_formula_sum 'Ho2 Ag1 Ge4 O12'
_space_group_name_H-M_alt 'P 1'
_space_group_IT_number 1
_cell_length_a 5.0213
_cell_length_b 7.1521
_cell_length_c 7.8781
_cell_angle_alpha 67.77
_cell_angle_beta 88.25
_cell_angle_gamma 78.72
loop_
_space_group_symop_operation_xyz
'x,y,z'
loop_
_atom_site_label
_atom_site_type_symbol
_atom_site_fract_x
_atom_site_fract_y
_atom_site_fract_z
Ho1 Ho 0.0457 0.2673 0.4558
Ho2 Ho 0.9543 0.7327 0.5442
Ag1 Ag 0.0000 0.5000 0.0000
Ge1 Ge 0.4143 0.8879 0.7905
Ge2 Ge 0.4539 0.6643 0.2250
Ge3 Ge 0.5461 0.3357 0.7750
Ge4 Ge 0.5857 0.1121 0.2095
O1 O 0.2069 0.9286 0.6028
O2 O 0.2143 0.5697 0.3833
O3 O 0.2595 0.2491 0.2090
O4 O 0.2723 0.8112 0.0092
O5 O 0.2754 0.5269 0.7825
O6 O 0.3998 0.1648 0.7081
O7 O 0.6002 0.8352 0.2919
O8 O 0.7246 0.4731 0.2175
O9 O 0.7277 0.1888 0.9908
O10 O 0.7405 0.7509 0.7910
O11 O 0.7857 0.4303 0.6167
O12 O 0.7931 0.0714 0.3972
# DFT total energy: -128.33 eV for the cell shown

[6]
# HoAgGeS3, optimized geometry, DFT PBE-GGA
data_HoAgGeS3
_chemical_formula_sum 'Ho2 Ag2 Ge2 S6'
_space_group_name_H-M_alt 'P 1'
_space_group_IT_number 1
_cell_length_a 6.5711
_cell_length_b 6.5711
_cell_length_c 10.4883
_cell_angle_alpha 90.00
_cell_angle_beta 90.00
_cell_angle_gamma 145.80
loop_
_space_group_symop_operation_xyz
'x,y,z'
loop_
_atom_site_label
_atom_site_type_symbol
_atom_site_fract_x
_atom_site_fract_y
_atom_site_fract_z
Ho1 Ho 0.0000 0.0000 0.0000
Ho2 Ho 0.0000 0.0000 0.5000
Ag1 Ag 0.4711 0.5289 0.7500
Ag2 Ag 0.5289 0.4711 0.2500
Ge1 Ge 0.2433 0.7567 0.2500
Ge2 Ge 0.7567 0.2433 0.7500
S1 S 0.1080 0.8920 0.7500
S2 S 0.3554 0.6446 0.5610
S3 S 0.3554 0.6446 0.9390
S4 S 0.6446 0.3554 0.0610
S5 S 0.6446 0.3554 0.4390
S6 S 0.8920 0.1080 0.2500
# DFT total energy: -58.36 eV for the cell shown

[7]
# HoAgGeSe2S, optimized geometry, DFT PBE-GGA
data_HoAgGeSe2S
_chemical_formula_sum 'Ho2 Ag2 Ge2 Se4 S2'
_space_group_name_H-M_alt 'P 1'
_space_group_IT_number 1
_cell_length_a 6.8758
_cell_length_b 6.8758
_cell_length_c 10.2853
_cell_angle_alpha 90.00
_cell_angle_beta 90.00
_cell_angle_gamma 146.19
loop_
_space_group_symop_operation_xyz
'x,y,z'
loop_
_atom_site_label
_atom_site_type_symbol
_atom_site_fract_x
_atom_site_fract_y
_atom_site_fract_z
Ho1 Ho 0.0000 0.0000 0.0000
Ho2 Ho 0.0000 0.0000 0.5000
Ag1 Ag 0.4743 0.5257 0.7500
Ag2 Ag 0.5257 0.4743 0.2500
Ge1 Ge 0.2603 0.7397 0.2500
Ge2 Ge 0.7397 0.2603 0.7500
Se1 Se 0.3492 0.6508 0.5567
Se2 Se 0.3492 0.6508 0.9433
Se3 Se 0.6508 0.3492 0.0567
Se4 Se 0.6508 0.3492 0.4433
S1 S 0.0989 0.9011 0.7500
S2 S 0.9011 0.0989 0.2500
# DFT total energy: -55.34 eV for the cell shown

[8]
# HoAgGeSeS2, optimized geometry, DFT PBE-GGA
data_HoAgGeSeS2
_chemical_formula_sum 'Ho2 Ag2 Ge2 Se2 S4'
_space_group_name_H-M_alt 'P 1'
_space_group_IT_number 1
_cell_length_a 6.6949
_cell_length_b 6.6949
_cell_length_c 10.8014
_cell_angle_alpha 90.00
_cell_angle_beta 90.00
_cell_angle_gamma 146.28
loop_
_space_group_symop_operation_xyz
'x,y,z'
loop_
_atom_site_label
_atom_site_type_symbol
_atom_site_fract_x
_atom_site_fract_y
_atom_site_fract_z
Ho1 Ho 0.0000 0.0000 0.0000
Ho2 Ho 0.0000 0.0000 0.5000
Ag1 Ag 0.4746 0.5254 0.7500
Ag2 Ag 0.5254 0.4746 0.2500
Ge1 Ge 0.2242 0.7758 0.2500
Ge2 Ge 0.7758 0.2242 0.7500
Se1 Se 0.1182 0.8818 0.7500
Se2 Se 0.8818 0.1182 0.2500
S1 S 0.3606 0.6394 0.5648
S2 S 0.3606 0.6394 0.9352
S3 S 0.6394 0.3606 0.0648
S4 S 0.6394 0.3606 0.4352
# DFT total energy: -56.96 eV for the cell shown